P.
PmSmAu | GGA-PBE | optimized geometry

Cell: 8.5547 8.5547 7.9389 Å, 90.00 90.00 120.00°
Atoms (fractional coordinates):
1 Pm 0.0000 0.2661 0.0000
2 Pm 0.0000 0.2661 0.5000
3 Pm 0.2661 0.0000 0.5000
4 Pm 0.2661 0.0000 0.0000
5 Pm 0.7339 0.7339 0.0000
6 Pm 0.7339 0.7339 0.5000
7 Sm 0.0002 0.5971 0.2500
8 Sm 0.4029 0.4031 0.2500
9 Sm 0.5969 0.9998 0.2500
10 Sm 0.9998 0.5969 0.7500
11 Sm 0.4031 0.4029 0.7500
12 Sm 0.5971 0.0002 0.7500
13 Au 0.6667 0.3333 0.0003
14 Au 0.3333 0.6667 0.5003
15 Au 0.0000 0.0000 0.2500
16 Au 0.3333 0.6667 0.9997
17 Au 0.6667 0.3333 0.4997
18 Au 0.0000 0.0000 0.7500

Calculated values
Crystal system   hexagonal
Symmetry   P-62m, No. 189

=====

Q.
PmSmAu | GGA-PBE | optimized geometry

Cell: 5.0899 5.0899 5.0899 Å, 60.00 60.00 60.00°
Atoms (fractional coordinates):
1 Sm 0.5000 0.5000 0.5000
2 Pm 0.0000 0.0000 0.0000
3 Au 0.2500 0.2500 0.2500

Calculated values
Crystal system   cubic
Symmetry   F-43m, No. 216

=====

Most stable one: P, least stable one: Q.